First-principles (PBE) data for PrY3Th2 after structural relaxation, as listed in the Alexandria database.

```
PrY3Th2
1.0
8.6981 0.0000 0.0000
0.0000 3.6394 0.0000
-0.2528 0.0000 12.5540
Pr Y Th
2 6 4
direct
0.1844 0.2500 0.2519 Pr
0.8156 0.7500 0.7481 Pr
0.0995 0.2500 0.8947 Y
0.3483 0.7500 0.4575 Y
0.3970 0.7500 0.7469 Y
0.6030 0.2500 0.2531 Y
0.6517 0.2500 0.5425 Y
0.9005 0.7500 0.1053 Y
0.0891 0.2500 0.6050 Th
0.3634 0.7500 0.0536 Th
0.6366 0.2500 0.9464 Th
0.9109 0.7500 0.3950 Th
```

DFT total energy: -6.405 eV/atom
Formation energy from the elements: 97 meV per atom
Space-group type: P2_1/m, No. 11
E above lowest polymorph: 0.061 eV per atom